Here is an optimized crystal structure of Tl6BiPb2 from Alexandria via LeMat-Bulk. Energies are from PBE.

The space group is C2/m (No. 12) and the conventional cell measures 8.3959, 16.3463 and 4.3510 Å, with angles of 90.00, 103.80 and 90.00 degrees. The inequivalent atoms are Tl at (0.1695, 0.0000, 0.3329), Tl at (0.1693, 0.1615, 0.8337), Bi at (0.0000, 0.5000, 0.0000) and Pb at (0.0000, 0.3455, 0.5000).

For the formation energy, the calculation gives 0.022 eV/atom. Its energy above the most stable polymorph in this dataset is 0.000 eV per atom.